The following is a DFT calculation (PBE) of an optimized crystal structure of CuPdWAu.

For the polymorph energy (0 for the lowest one), the calculation gives 0.0 meV/atom. The density is 15.10 g/cm3. The calculation puts the formation energy at 319 meV/atom. For the spin magnetization, the calculation gives 0.0 μB per cell.

abc: 4.4079 4.4079 4.4079
angles: 60.00 60.00 60.00
Atoms (fractional coordinates):
Au 0.5000 0.5000 0.5000
Cu 0.7500 0.7500 0.7500
Pd 0.2500 0.2500 0.2500
W 0.0000 0.0000 0.0000



The following is a DFT calculation (PBE) of an optimized crystal structure of PmCuAu.

For the polymorph energy (0 for the lowest one), the calculation gives 303.9 meV/atom. The density is 8.62 g/cm3. The calculation puts the formation energy at -64 meV/atom. For the spin magnetization, the calculation gives 0.0 μB per cell.

abc: 4.7987 4.7987 4.7987
angles: 60.00 60.00 60.00
Atoms (fractional coordinates):
Au 0.2500 0.2500 0.2500
Cu 0.7500 0.7500 0.7500
Pm 0.0000 0.0000 0.0000



The following is a DFT calculation (PBE) of an optimized crystal structure of Pr2CuAu.

The density is 8.76 g/cm3. The calculation puts the formation energy at -484 meV/atom. For the spin magnetization, the calculation gives 0.0 μB per cell.

abc: 4.7119 5.8087 7.5155
angles: 90.00 90.00 90.00
Atoms (fractional coordinates):
Au 0.0000 0.6183 0.4638
Au 0.0000 0.3817 0.9638
Cu 0.5000 0.1161 0.0376
Cu 0.5000 0.8839 0.5376
Pr 0.5000 0.6177 0.1811
Pr 0.0000 0.1120 0.3175
Pr 0.5000 0.3823 0.6811
Pr 0.0000 0.8880 0.8175



The following is a DFT calculation (PBE) of an optimized crystal structure of Pr4CuAu3.

The density is 9.56 g/cm3. The calculation puts the formation energy at -640 meV/atom. For the spin magnetization, the calculation gives 0.0 μB per cell.

abc: 5.8548 4.7845 7.5504
angles: 90.00 90.34 90.00
Atoms (fractional coordinates):
Au 0.6474 0.0000 0.4592
Au 0.3523 0.5000 0.5415
Au 0.8686 0.0000 0.9632
Cu 0.1326 0.5000 0.0370
Pr 0.6338 0.5000 0.1810
Pr 0.1394 0.0000 0.3144
Pr 0.8626 0.5000 0.6852
Pr 0.3631 0.0000 0.8185



The following is a DFT calculation (PBE) of an optimized crystal structure of Pr2CuAu.

The density is 8.80 g/cm3. The calculation puts the formation energy at -473 meV/atom. For the spin magnetization, the calculation gives 0.0 μB per cell.

abc: 5.8120 4.7257 7.4513
angles: 90.00 90.50 90.00
Atoms (fractional coordinates):
Au 0.8525 0.7500 0.0412
Au 0.1475 0.2500 0.9588
Cu 0.3761 0.2500 0.4647
Cu 0.6239 0.7500 0.5353
Pr 0.3623 0.7500 0.1893
Pr 0.8622 0.2500 0.3228
Pr 0.1378 0.7500 0.6772
Pr 0.6377 0.2500 0.8107



The following is a DFT calculation (PBE) of an optimized crystal structure of Pr2CuAu3.

For the polymorph energy (0 for the lowest one), the calculation gives 0.0 meV/atom. The density is 11.39 g/cm3. The calculation puts the formation energy at -661 meV/atom. For the spin magnetization, the calculation gives 0.0 μB per cell.

abc: 5.8818 5.8818 7.2725
angles: 127.15 127.15 45.98
Atoms (fractional coordinates):
Au 0.1598 0.1598 0.1179
Au 0.8567 0.8567 0.3277
Au 0.8179 0.8179 0.8508
Cu 0.1680 0.1680 0.7129
Pr 0.5328 0.5328 0.2775
Pr 0.4648 0.4648 0.7132



The following is a DFT calculation (PBE) of an optimized crystal structure of Pr2CuAu3.

For the polymorph energy (0 for the lowest one), the calculation gives 6.1 meV/atom. The density is 11.17 g/cm3. The calculation puts the formation energy at -655 meV/atom. For the spin magnetization, the calculation gives 0.0 μB per cell.

abc: 3.7184 4.6624 8.0275
angles: 90.00 90.00 90.00
Atoms (fractional coordinates):
Au 0.0000 0.5000 0.1848
Au 0.0000 0.0000 0.6481
Au 0.0000 0.5000 0.8387
Cu 0.0000 0.0000 0.3254
Pr 0.5000 0.0000 0.0033
Pr 0.5000 0.5000 0.4996



The following is a DFT calculation (PBE) of an optimized crystal structure of Pr4Cu3Au.

The density is 8.03 g/cm3. The calculation puts the formation energy at -323 meV/atom. For the spin magnetization, the calculation gives 0.0 μB per cell.

abc: 5.7205 4.6236 7.4390
angles: 90.00 90.19 90.00
Atoms (fractional coordinates):
Au 0.8695 0.0000 0.9647
Cu 0.1316 0.5000 0.0369
Cu 0.6219 0.0000 0.4664
Cu 0.3782 0.5000 0.5346
Pr 0.6309 0.5000 0.1857
Pr 0.1374 0.0000 0.3212
Pr 0.8654 0.5000 0.6766
Pr 0.3651 0.0000 0.8140



The following is a DFT calculation (PBE) of an optimized crystal structure of PrCuSi2Au.

The density is 8.39 g/cm3. For the spin magnetization, the calculation gives 0.0 μB per cell. Its uncorrected energy is -5.13 eV/atom.

abc: 5.9333 5.9333 5.9333
angles: 138.56 138.56 60.04
Atoms (fractional coordinates):
Au 0.5000 0.5000 0.0000
Cu 0.0000 0.0000 0.0000
Pr 0.2500 0.7500 0.5000
Si 0.6344 0.1344 0.5000
Si 0.8656 0.3656 0.5000



The following is a DFT calculation (PBE) of an optimized crystal structure of Cu2PtAu.

The density is 15.06 g/cm3. The calculation puts the formation energy at -110 meV/atom. For the spin magnetization, the calculation gives 0.0 μB per cell.

abc: 3.9764 3.9764 3.6191
angles: 90.00 90.00 90.00
Atoms (fractional coordinates):
Au 0.0000 0.0000 0.0000
Cu 0.5000 0.0000 0.5000
Cu 0.0000 0.5000 0.5000
Pt 0.5000 0.5000 0.0000



The following is a DFT calculation (PBE) of an optimized crystal structure of CuPt2Au.

For the polymorph energy (0 for the lowest one), the calculation gives 6.2 meV/atom. The density is 17.59 g/cm3. The calculation puts the formation energy at -19 meV/atom. For the spin magnetization, the calculation gives 0.0 μB per cell.

abc: 3.9391 3.9391 3.9596
angles: 90.00 90.00 90.00
Atoms (fractional coordinates):
Au 0.5000 0.5000 0.0000
Cu 0.0000 0.0000 0.0000
Pt 0.5000 0.0000 0.5000
Pt 0.0000 0.5000 0.5000



The following is a DFT calculation (PBE) of an optimized crystal structure of CuPt2Au.

For the polymorph energy (0 for the lowest one), the calculation gives 0.0 meV/atom. The density is 17.60 g/cm3. The calculation puts the formation energy at -25 meV/atom. For the spin magnetization, the calculation gives 0.0 μB per cell.

abc: 2.7968 2.7968 7.8489
angles: 90.00 90.00 90.00
Atoms (fractional coordinates):
Au 0.0000 0.0000 0.0000
Cu 0.0000 0.0000 0.5000
Pt 0.5000 0.5000 0.2733
Pt 0.5000 0.5000 0.7267



The following is a DFT calculation (PBE) of an optimized crystal structure of CuPt3Au2.

The density is 18.13 g/cm3. The calculation puts the formation energy at -34 meV/atom. For the spin magnetization, the calculation gives 0.0 μB per cell.

abc: 2.8143 2.8143 13.9200
angles: 90.00 90.00 120.00
Atoms (fractional coordinates):
Au 0.6667 0.3333 0.3261
Au 0.3333 0.6667 0.6739
Cu 0.0000 0.0000 0.0000
Pt 0.3333 0.6667 0.1514
Pt 0.0000 0.0000 0.5000
Pt 0.6667 0.3333 0.8486



The following is a DFT calculation (PBE) of an optimized crystal structure of Cu2Pt3Au.

The density is 16.76 g/cm3. The calculation puts the formation energy at -100 meV/atom. For the spin magnetization, the calculation gives 0.0 μB per cell.

abc: 2.7846 2.7846 13.4131
angles: 90.00 90.00 120.00
Atoms (fractional coordinates):
Au 0.0000 0.0000 0.5000
Cu 0.3333 0.6667 0.1595
Cu 0.6667 0.3333 0.8405
Pt 0.0000 0.0000 0.0000
Pt 0.6667 0.3333 0.3170
Pt 0.3333 0.6667 0.6830



The following is a DFT calculation (PBE) of an optimized crystal structure of CuSiPtAu.

For the polymorph energy (0 for the lowest one), the calculation gives 0.0 meV/atom. The density is 13.28 g/cm3. For the spin magnetization, the calculation gives 0.0 μB per cell.

abc: 4.4061 4.4061 4.4061
angles: 60.00 60.00 60.00
Atoms (fractional coordinates):
Au 0.5000 0.5000 0.5000
Cu 0.7500 0.7500 0.7500
Pt 0.2500 0.2500 0.2500
Si 0.0000 0.0000 0.0000



The following is a DFT calculation (PBE) of an optimized crystal structure of TlCuPtAu.

For the polymorph energy (0 for the lowest one), the calculation gives 0.0 meV/atom. The density is 15.76 g/cm3. For the spin magnetization, the calculation gives 0.0 μB per cell.

abc: 4.6162 4.6162 4.6162
angles: 60.00 60.00 60.00
Atoms (fractional coordinates):
Au 0.5000 0.5000 0.5000
Cu 0.7500 0.7500 0.7500
Pt 0.2500 0.2500 0.2500
Tl 0.0000 0.0000 0.0000



The following is a DFT calculation (PBE) of an optimized crystal structure of CuPtWAu.

For the polymorph energy (0 for the lowest one), the calculation gives 0.0 meV/atom. The density is 17.26 g/cm3. The calculation puts the formation energy at 212 meV/atom. For the spin magnetization, the calculation gives 0.0 μB per cell.

abc: 4.4314 4.4314 4.4314
angles: 60.00 60.00 60.00
Atoms (fractional coordinates):
Au 0.5000 0.5000 0.5000
Cu 0.7500 0.7500 0.7500
Pt 0.2500 0.2500 0.2500
W 0.0000 0.0000 0.0000



The following is a DFT calculation (PBE) of an optimized crystal structure of CuPtWAu.

For the polymorph energy (0 for the lowest one), the calculation gives 23.3 meV/atom. The density is 17.02 g/cm3. The calculation puts the formation energy at 235 meV/atom. For the spin magnetization, the calculation gives 0.0 μB per cell.

abc: 4.4520 4.4520 4.4520
angles: 60.00 60.00 60.00
Atoms (fractional coordinates):
Au 0.0000 0.0000 0.0000
Cu 0.7500 0.7500 0.7500
Pt 0.5000 0.5000 0.5000
W 0.2500 0.2500 0.2500



The following is a DFT calculation (PBE) of an optimized crystal structure of CuPtWAu.

For the polymorph energy (0 for the lowest one), the calculation gives 112.1 meV/atom. The density is 17.37 g/cm3. The calculation puts the formation energy at 324 meV/atom. For the spin magnetization, the calculation gives 0.0 μB per cell.

abc: 4.4214 4.4214 4.4214
angles: 60.00 60.00 60.00
Atoms (fractional coordinates):
Au 0.2500 0.2500 0.2500
Cu 0.7500 0.7500 0.7500
Pt 0.5000 0.5000 0.5000
W 0.0000 0.0000 0.0000



The following is a DFT calculation (PBE) of an optimized crystal structure of ZnCuPtAu.

The density is 14.69 g/cm3. The calculation puts the formation energy at -293 meV/atom. For the spin magnetization, the calculation gives 0.0 μB per cell.

abc: 3.6620 3.9673 4.0534
angles: 90.00 90.00 90.00
Atoms (fractional coordinates):
Au 0.5000 0.5000 0.0000
Cu 0.0000 0.0000 0.0000
Pt 0.5000 0.0000 0.5000
Zn 0.0000 0.5000 0.5000



The following is a DFT calculation (PBE) of an optimized crystal structure of Zn4Cu2PtAu.

The density is 11.39 g/cm3. The calculation puts the formation energy at -258 meV/atom. For the spin magnetization, the calculation gives 0.0 μB per cell.

abc: 4.4296 5.5286 4.6498
angles: 90.00 90.00 90.00
Atoms (fractional coordinates):
Au 0.0000 0.0000 0.6834
Cu 0.5000 0.0000 0.3178
Cu 0.0000 0.5000 0.6751
Pt 0.5000 0.5000 0.3185
Zn 0.0000 0.2544 0.1837
Zn 0.0000 0.7456 0.1837
Zn 0.5000 0.2581 0.8189
Zn 0.5000 0.7419 0.8189



The following is a DFT calculation (PBE) of an optimized crystal structure of Rb2CuAuSe2.

The density is 4.64 g/cm3. Its uncorrected energy is -3.39 eV/atom.

abc: 8.1117 8.1117 5.3249
angles: 91.97 91.97 37.05
Atoms (fractional coordinates):
Au 0.0000 0.0000 0.0000
Cu 0.0000 0.0000 0.5000
Rb 0.6461 0.6461 0.2470
Rb 0.3539 0.3539 0.7530
Se 0.8708 0.8708 0.2668
Se 0.1292 0.1292 0.7332



The following is a DFT calculation (PBE) of an optimized crystal structure of CuReSbAu.

For the polymorph energy (0 for the lowest one), the calculation gives 0.0 meV/atom. The density is 14.08 g/cm3. For the spin magnetization, the calculation gives 0.0 μB per cell.

abc: 4.5598 4.5598 4.5598
angles: 60.00 60.00 60.00
Atoms (fractional coordinates):
Au 0.5000 0.5000 0.5000
Cu 0.7500 0.7500 0.7500
Re 0.2500 0.2500 0.2500
Sb 0.0000 0.0000 0.0000



The following is a DFT calculation (PBE) of an optimized crystal structure of CuReSnAu.

For the polymorph energy (0 for the lowest one), the calculation gives 0.0 meV/atom. The density is 14.10 g/cm3. For the spin magnetization, the calculation gives 0.2 μB per cell.

abc: 4.5497 4.5497 4.5497
angles: 60.00 60.00 60.00
Atoms (fractional coordinates):
Au 0.5000 0.5000 0.5000
Cu 0.7500 0.7500 0.7500
Re 0.2500 0.2500 0.2500
Sn 0.0000 0.0000 0.0000



The following is a DFT calculation (PBE) of an optimized crystal structure of ZnCuReAu.

For the polymorph energy (0 for the lowest one), the calculation gives 0.0 meV/atom. The density is 14.08 g/cm3. The calculation puts the formation energy at 526 meV/atom. For the spin magnetization, the calculation gives 2.1 μB per cell.

abc: 4.4036 4.4036 4.4036
angles: 60.00 60.00 60.00
Atoms (fractional coordinates):
Au 0.5000 0.5000 0.5000
Cu 0.7500 0.7500 0.7500
Re 0.2500 0.2500 0.2500
Zn 0.0000 0.0000 0.0000



The following is a DFT calculation (PBE) of an optimized crystal structure of CuAuSeS3.

The density is 5.81 g/cm3. Its uncorrected energy is -3.85 eV/atom.

abc: 4.5856 6.9896 7.8292
angles: 90.00 96.97 90.00
Atoms (fractional coordinates):
Au 0.0000 0.0000 0.0000
Au 0.0000 0.5000 0.0000
Cu 0.4359 0.2500 0.3491
Cu 0.5641 0.7500 0.6509
S 0.1199 0.5136 0.3077
S 0.1199 0.9864 0.3077
S 0.4030 0.7500 0.3615
S 0.5970 0.2500 0.6385
S 0.8801 0.0136 0.6923
S 0.8801 0.4864 0.6923
Se 0.6368 0.2500 0.0731
Se 0.3632 0.7500 0.9269



The following is a DFT calculation (PBE) of an optimized crystal structure of CuAuSe2S2.

For the polymorph energy (0 for the lowest one), the calculation gives 10.2 meV/atom. The density is 6.19 g/cm3.

abc: 4.5305 7.2110 7.9683
angles: 90.00 95.56 90.00
Atoms (fractional coordinates):
Au 0.0000 0.0000 0.0000
Au 0.0000 0.5000 0.0000
Cu 0.4280 0.2500 0.3383
Cu 0.5720 0.7500 0.6617
S 0.1143 0.5064 0.3018
S 0.1143 0.9936 0.3018
S 0.8857 0.0064 0.6982
S 0.8857 0.4936 0.6982
Se 0.6413 0.2500 0.0692
Se 0.4293 0.7500 0.3596
Se 0.5707 0.2500 0.6404
Se 0.3587 0.7500 0.9308